The following is a PBE+U calculation of a relaxed structure of Rb2VReO6, from Alexandria via LeMat-Bulk.

Summary:
M_tot ... 2.000 μB/f.u.
Fermi-level density of states ... 2.08 states/eV per cell
Calculated total energy ... -138.18 eV/cell
Volume ... 287.4 Å³ per cell

Cell: 5.9014 5.9014 10.1190 Å, 73.05 73.05 60.00°
Closest atoms and distances in Å follow each position.
Fractional positions:
Rb: 0.8704 0.8704 0.3887  12 O 2.96-3.07
Rb: 0.1296 0.1296 0.6113  12 O 2.96-3.07
Rb: 0.7184 0.7184 0.8449  12 O 2.84-3.13
Rb: 0.2816 0.2816 0.1551  12 O 2.84-3.13
V: 0.5955 0.5955 0.2135  6 O 2.05-2.11
V: 0.4045 0.4045 0.7865  6 O 2.05-2.11
Re: 0.0000 0.0000 0.0000  6 O 1.92
Re: 0.5000 0.5000 0.5000  6 O 1.90
O: 0.8291 0.3993 0.3723  1 Re 1.90, 1 V 2.11
O: 0.3993 0.8291 0.3723  1 Re 1.90, 1 V 2.11
O: 0.3993 0.3993 0.3723  1 Re 1.90, 1 V 2.11
O: 0.1709 0.6007 0.6277  1 Re 1.90, 1 V 2.11
O: 0.6007 0.1709 0.6277  1 Re 1.90, 1 V 2.11
O: 0.6007 0.6007 0.6277  1 Re 1.90, 1 V 2.11
O: 0.7256 0.1937 0.8870  1 Re 1.92, 1 V 2.05
O: 0.1937 0.7256 0.8870  1 Re 1.92, 1 V 2.05
O: 0.1937 0.1937 0.8870  1 Re 1.92, 1 V 2.05
O: 0.2744 0.8063 0.1130  1 Re 1.92, 1 V 2.05
O: 0.8063 0.2744 0.1130  1 Re 1.92, 1 V 2.05
O: 0.8063 0.8063 0.1130  1 Re 1.92, 1 V 2.05